[1]
! Pa4Tc2Ni | Alexandria | PBE | optimized geometry; values from VASP
! M_tot = 0.000 μB/cell
! symmetry = C2/m
! ΔE_f = -82.6 meV/atom
&SYSTEM
  ibrav = 0, nat = 7, ntyp = 3
/
ATOMIC_SPECIES
Pa 231.04 Pa.upf
Tc 98.00 Tc.upf
Ni 58.69 Ni.upf
CELL_PARAMETERS angstrom
6.6055 -1.8102 0.0000
6.6055 1.8102 0.0000
-2.7652 0.0000 6.2813
ATOMIC_POSITIONS angstrom
Pa 0.5854 0.0000 1.3785
Pa 4.3299 0.0000 1.1637
Pa 6.1159 0.0000 5.1176
Pa 9.8604 0.0000 4.9028
Tc 1.3623 0.0000 4.3018
Tc 9.0835 0.0000 1.9795
Ni -1.3826 0.0000 3.1406

[2]
! Pa6TcNi23 | Alexandria | PBE | optimized geometry; values from VASP
! M_tot = 0.000 μB/cell
! symmetry = Fm-3m
! ΔE_f = -355.9 meV/atom
&SYSTEM
  ibrav = 0, nat = 30, ntyp = 3
/
ATOMIC_SPECIES
Pa 231.04 Pa.upf
Tc 98.00 Tc.upf
Ni 58.69 Ni.upf
CELL_PARAMETERS angstrom
0.0000 5.9357 5.9357
5.9357 0.0000 5.9357
5.9357 5.9357 0.0000
ATOMIC_POSITIONS angstrom
Pa 5.9357 5.9357 2.7130
Pa 5.9357 2.7130 5.9357
Pa 9.1583 5.9357 5.9357
Pa 2.7130 5.9357 5.9357
Pa 5.9357 9.1583 5.9357
Pa 5.9357 5.9357 9.1583
Tc 0.0000 0.0000 0.0000
Ni 2.9678 2.9678 0.0000
Ni 2.9678 0.0000 2.9678
Ni 5.9357 2.9678 2.9678
Ni 7.4126 4.4587 4.4587
Ni 2.0597 2.0597 2.0597
Ni 3.8760 3.8760 2.0597
Ni 3.8760 2.0597 3.8760
Ni 4.4587 4.4587 4.4587
Ni 7.4126 7.4126 4.4587
Ni 7.4126 4.4587 7.4126
Ni 2.0597 3.8760 3.8760
Ni 0.0000 2.9678 2.9678
Ni 2.9678 5.9357 2.9678
Ni 2.9678 2.9678 5.9357
Ni 5.9357 5.9357 5.9357
Ni 9.8116 7.9954 7.9954
Ni 4.4587 7.4126 4.4587
Ni 4.4587 4.4587 7.4126
Ni 7.4126 7.4126 7.4126
Ni 7.9954 9.8116 7.9954
Ni 7.9954 7.9954 9.8116
Ni 9.8116 9.8116 9.8116
Ni 4.4587 7.4126 7.4126

[3]
! PaTcNi2 | Alexandria | PBE | optimized geometry; values from VASP
! energy above the most stable polymorph in this dataset = 0 meV per atom
! M_tot = 0.000 μB/cell
! symmetry = P4/mmm
! ΔE_f = -332.2 meV/atom
&SYSTEM
  ibrav = 0, nat = 4, ntyp = 3
/
ATOMIC_SPECIES
Pa 231.04 Pa.upf
Tc 98.00 Tc.upf
Ni 58.69 Ni.upf
CELL_PARAMETERS angstrom
3.9293 0.0000 0.0000
0.0000 3.9293 0.0000
0.0000 0.0000 3.9494
ATOMIC_POSITIONS angstrom
Pa 0.0000 0.0000 0.0000
Tc 1.9646 1.9646 0.0000
Ni 0.0000 1.9646 1.9747
Ni 1.9646 0.0000 1.9747

[4]
! PaTiTcNi | Alexandria | PBE | optimized geometry; values from VASP
! M_tot = 0.615 μB/cell
! symmetry = F-43m
! ΔE_f = -230.8 meV/atom
&SYSTEM
  ibrav = 0, nat = 4, ntyp = 4
/
ATOMIC_SPECIES
Pa 231.04 Pa.upf
Ti 47.87 Ti.upf
Tc 98.00 Tc.upf
Ni 58.69 Ni.upf
CELL_PARAMETERS angstrom
0.0000 3.2421 3.2421
3.2421 0.0000 3.2421
3.2421 3.2421 0.0000
ATOMIC_POSITIONS angstrom
Pa 0.0000 0.0000 0.0000
Ti 3.2421 3.2421 3.2421
Tc 4.8632 4.8632 4.8632
Ni 1.6211 1.6211 1.6211

[5]
! TmPaTcNi | Alexandria | PBE | optimized geometry; values from VASP
! M_tot = 0.000 μB/cell
! symmetry = F-43m
! ΔE_f = -228.6 meV/atom
&SYSTEM
  ibrav = 0, nat = 4, ntyp = 4
/
ATOMIC_SPECIES
Tm 168.93 Tm.upf
Pa 231.04 Pa.upf
Tc 98.00 Tc.upf
Ni 58.69 Ni.upf
CELL_PARAMETERS angstrom
0.0000 3.3850 3.3850
3.3850 0.0000 3.3850
3.3850 3.3850 0.0000
ATOMIC_POSITIONS angstrom
Tm 0.0000 0.0000 0.0000
Pa 3.3850 3.3850 3.3850
Tc 5.0776 5.0776 5.0776
Ni 1.6925 1.6925 1.6925

[6]
! PaVTcNi | Alexandria | PBE | optimized geometry; values from VASP
! M_tot = 1.705 μB/cell
! symmetry = F-43m
! ΔE_f = -49.4 meV/atom
&SYSTEM
  ibrav = 0, nat = 4, ntyp = 4
/
ATOMIC_SPECIES
Pa 231.04 Pa.upf
V 50.94 V.upf
Tc 98.00 Tc.upf
Ni 58.69 Ni.upf
CELL_PARAMETERS angstrom
0.0000 3.2060 3.2060
3.2060 0.0000 3.2060
3.2060 3.2060 0.0000
ATOMIC_POSITIONS angstrom
Pa 0.0000 0.0000 0.0000
V 3.2060 3.2060 3.2060
Tc 1.6030 1.6030 1.6030
Ni 4.8090 4.8090 4.8090

[7]
! YPaTcNi | Alexandria | PBE | optimized geometry; values from VASP
! M_tot = 0.000 μB/cell
! symmetry = F-43m
! ΔE_f = -160.4 meV/atom
&SYSTEM
  ibrav = 0, nat = 4, ntyp = 4
/
ATOMIC_SPECIES
Y 88.91 Y.upf
Pa 231.04 Pa.upf
Tc 98.00 Tc.upf
Ni 58.69 Ni.upf
CELL_PARAMETERS angstrom
0.0000 3.4094 3.4094
3.4094 0.0000 3.4094
3.4094 3.4094 0.0000
ATOMIC_POSITIONS angstrom
Y 0.0000 0.0000 0.0000
Pa 3.4094 3.4094 3.4094
Tc 1.7047 1.7047 1.7047
Ni 5.1142 5.1142 5.1142

[8]
! ZrPaTcNi | Alexandria | PBE | optimized geometry; values from VASP
! M_tot = 0.000 μB/cell
! symmetry = F-43m
! ΔE_f = -232.3 meV/atom
&SYSTEM
  ibrav = 0, nat = 4, ntyp = 4
/
ATOMIC_SPECIES
Zr 91.22 Zr.upf
Pa 231.04 Pa.upf
Tc 98.00 Tc.upf
Ni 58.69 Ni.upf
CELL_PARAMETERS angstrom
0.0000 3.3330 3.3330
3.3330 0.0000 3.3330
3.3330 3.3330 0.0000
ATOMIC_POSITIONS angstrom
Zr 0.0000 0.0000 0.0000
Pa 3.3330 3.3330 3.3330
Tc 1.6665 1.6665 1.6665
Ni 4.9996 4.9996 4.9996

[9]
! Pa3NiTe6 | Alexandria | PBE | optimized geometry; values from VASP
! M_tot = 5.506 μB/cell
! symmetry = Cmc2_1
! E_form (uncorrected) = -0.678 eV per atom
&SYSTEM
  ibrav = 0, nat = 20, ntyp = 3
/
ATOMIC_SPECIES
Pa 231.04 Pa.upf
Ni 58.69 Ni.upf
Te 127.60 Te.upf
CELL_PARAMETERS angstrom
6.0495 -7.1978 0.0000
6.0495 7.1978 0.0000
0.0000 0.0000 6.9920
ATOMIC_POSITIONS angstrom
Pa 6.0495 5.6042 3.4960
Pa 4.1220 1.4709 2.7677
Pa 4.1220 -1.4709 6.2637
Pa 7.9770 1.4709 2.7677
Pa 7.9770 -1.4709 6.2637
Pa 6.0495 -5.6042 0.0000
Ni 6.0495 3.1706 5.3619
Ni 6.0495 -3.1706 1.8659
Te 3.7798 3.8933 4.5978
Te 2.0189 0.5222 4.8719
Te 2.0189 -0.5222 1.3760
Te 6.0495 3.3053 1.1543
Te 8.3192 3.8933 4.5978
Te 6.0495 0.6406 5.0499
Te 6.0495 -0.6406 1.5539
Te 3.7798 -3.8933 1.1018
Te 6.0495 -3.3053 4.6503
Te 10.0802 0.5222 4.8719
Te 10.0802 -0.5222 1.3760
Te 8.3192 -3.8933 1.1018

[10]
! PaNiTe2 | Alexandria | PBE | optimized geometry; values from VASP
! energy above the most stable polymorph in this dataset = 4 meV per atom
! M_tot = 3.922 μB/cell
! symmetry = Pmna
! E_form (uncorrected) = -0.630 eV per atom
&SYSTEM
  ibrav = 0, nat = 16, ntyp = 3
/
ATOMIC_SPECIES
Pa 231.04 Pa.upf
Ni 58.69 Ni.upf
Te 127.60 Te.upf
CELL_PARAMETERS angstrom
8.1157 0.0000 0.0000
0.0000 7.9199 0.0000
0.0000 0.0000 7.5585
ATOMIC_POSITIONS angstrom
Pa 2.0321 0.0000 0.0000
Pa 2.0257 0.0000 3.7792
Pa 6.0836 0.0000 0.0000
Pa 6.0900 0.0000 3.7792
Ni 0.0000 0.9915 1.8824
Ni 0.0000 6.9284 5.6761
Ni 4.0579 0.9915 1.8969
Ni 4.0579 6.9284 5.6616
Te 0.0000 1.5539 5.6707
Te 0.0000 6.3660 1.8877
Te 2.0289 2.5308 1.8896
Te 2.0289 5.3891 5.6688
Te 4.0579 1.5539 5.6670
Te 4.0579 6.3660 1.8915
Te 6.0868 2.5308 1.8896
Te 6.0868 5.3891 5.6688

[11]
! PaNiTe2 | Alexandria | PBE | optimized geometry; values from VASP
! energy above the most stable polymorph in this dataset = 578 meV per atom
! M_tot = 1.796 μB/cell
! symmetry = R-3m
! E_form (uncorrected) = -0.056 eV per atom
&SYSTEM
  ibrav = 0, nat = 4, ntyp = 3
/
ATOMIC_SPECIES
Pa 231.04 Pa.upf
Ni 58.69 Ni.upf
Te 127.60 Te.upf
CELL_PARAMETERS angstrom
2.1058 1.2158 8.6395
-2.1058 1.2158 8.6395
0.0000 -2.4315 8.6395
ATOMIC_POSITIONS angstrom
Pa 0.0000 0.0000 0.0000
Ni 0.0000 0.0000 12.9593
Te 0.0000 0.0000 10.5440
Te 0.0000 0.0000 15.3745

[12]
! Pa3Ni3Te4 | Alexandria | PBE | optimized geometry; values from VASP
! M_tot = 0.004 μB/cell
! symmetry = I-43d
! E_form (uncorrected) = -0.557 eV per atom
&SYSTEM
  ibrav = 0, nat = 20, ntyp = 3
/
ATOMIC_SPECIES
Pa 231.04 Pa.upf
Ni 58.69 Ni.upf
Te 127.60 Te.upf
CELL_PARAMETERS angstrom
-4.7335 4.7335 4.7335
4.7335 -4.7335 4.7335
4.7335 4.7335 -4.7335
ATOMIC_POSITIONS angstrom
Pa 7.1003 1.1834 0.0000
Pa 3.5501 0.0000 2.3668
Pa 2.3668 3.5501 0.0000
Pa 0.0000 2.3668 3.5501
Pa 1.1834 0.0000 7.1003
Pa 0.0000 7.1003 1.1834
Ni 4.7335 -2.3668 3.5501
Ni 3.5501 4.7335 -2.3668
Ni 4.7335 2.3668 1.1834
Ni 2.3668 1.1834 4.7335
Ni 1.1834 4.7335 2.3668
Ni -2.3668 3.5501 4.7335
Te 3.9474 0.7861 -0.7861
Te 6.3141 -1.5806 1.5806
Te 0.7861 0.7861 0.7861
Te 0.7861 -0.7861 3.9474
Te -0.7861 3.9474 0.7861
Te 1.5806 6.3141 -1.5806
Te 3.1529 3.1529 3.1529
Te -1.5806 1.5806 6.3141

[13]
! PaNi2Te6 | Alexandria | PBE | optimized geometry; values from VASP
! M_tot = 0.000 μB/cell
! symmetry = C2/c
! E_form (uncorrected) = -0.291 eV per atom
&SYSTEM
  ibrav = 0, nat = 18, ntyp = 3
/
ATOMIC_SPECIES
Pa 231.04 Pa.upf
Ni 58.69 Ni.upf
Te 127.60 Te.upf
CELL_PARAMETERS angstrom
7.8618 -4.4908 0.0000
7.8618 4.4908 0.0000
-3.4381 0.0000 7.2105
ATOMIC_POSITIONS angstrom
Pa 5.2832 2.9998 5.4079
Pa 7.0022 -2.9998 1.8026
Ni 1.4075 0.1324 5.5465
Ni 3.1265 -0.1324 1.9412
Ni 9.1589 0.1324 5.2693
Ni 10.8780 -0.1324 1.6641
Te 5.2897 3.4015 2.3314
Te 2.2445 2.4772 6.2465
Te 8.7148 3.4015 1.2739
Te 3.6065 0.5269 4.3432
Te 8.3219 2.4772 4.5693
Te 5.3255 -0.5269 0.7379
Te 6.9599 0.5269 6.4726
Te 3.9636 -2.4772 2.6413
Te 8.6789 -0.5269 2.8673
Te 3.5707 -3.4015 5.9367
Te 10.0409 -2.4772 0.9640
Te 6.9958 -3.4015 4.8791

[14]
! PaNiTe2 | Alexandria | PBE | optimized geometry; values from VASP
! energy above the most stable polymorph in this dataset = 0 meV per atom
! M_tot = 2.464 μB/cell
! symmetry = P2_1/c
! E_form (uncorrected) = -0.635 eV per atom
&SYSTEM
  ibrav = 0, nat = 16, ntyp = 3
/
ATOMIC_SPECIES
Pa 231.04 Pa.upf
Ni 58.69 Ni.upf
Te 127.60 Te.upf
CELL_PARAMETERS angstrom
8.8868 0.0000 0.0000
0.0000 7.1949 0.0000
-3.8641 0.0000 7.3730
ATOMIC_POSITIONS angstrom
Pa 8.0546 7.1941 1.5860
Pa -3.0320 0.0008 5.7871
Pa -1.0999 3.5967 2.1006
Pa 6.1225 3.5982 5.2725
Ni -1.0367 1.2862 4.1556
Ni 0.8953 2.3112 0.4691
Ni 4.1273 4.8836 6.9039
Ni 6.0594 5.9087 3.2174
Te 1.3638 5.1396 0.7151
Te -0.5682 5.6527 4.4016
Te 1.2575 1.7963 3.0070
Te -0.6746 1.8011 6.6935
Te 5.6972 5.3937 0.6795
Te 3.7651 5.3986 4.3660
Te 5.5909 1.5422 2.9714
Te 3.6588 2.0552 6.6580

[15]
! Pa6NiTe12 | Alexandria | PBE | optimized geometry; values from VASP
! M_tot = 6.293 μB/cell
! symmetry = R-3
! E_form (uncorrected) = -0.644 eV per atom
&SYSTEM
  ibrav = 0, nat = 19, ntyp = 3
/
ATOMIC_SPECIES
Pa 231.04 Pa.upf
Ni 58.69 Ni.upf
Te 127.60 Te.upf
CELL_PARAMETERS angstrom
6.7007 3.8687 3.9719
-6.7007 3.8687 3.9719
0.0000 -7.7373 3.9719
ATOMIC_POSITIONS angstrom
Pa -1.1448 -3.2850 4.2003
Pa -2.2725 2.6340 4.2003
Pa -3.4173 -0.6511 7.7152
Pa 3.4173 0.6511 4.2004
Pa 2.2725 -2.6340 7.7152
Pa 1.1448 3.2850 7.7152
Ni 0.0000 0.0000 0.0000
Te -6.1078 -1.6170 6.5992
Te -1.6535 -6.0980 5.3164
Te -2.5643 -0.4109 4.6099
Te -4.4542 4.4810 5.3164
Te 1.6380 -2.0153 4.6099
Te -0.9263 -2.4262 7.3056
Te 0.9263 2.4262 4.6099
Te -1.6380 2.0153 7.3056
Te 4.4542 -4.4810 6.5992
Te 2.5643 0.4109 7.3056
Te 1.6535 6.0980 6.5992
Te 6.1078 1.6170 5.3164

[16]
! Pa2NiTe6 | Alexandria | PBE | optimized geometry; values from VASP
! M_tot = 0.000 μB/cell
! symmetry = P2_1/c
! E_form (uncorrected) = -0.647 eV per atom
&SYSTEM
  ibrav = 0, nat = 18, ntyp = 3
/
ATOMIC_SPECIES
Pa 231.04 Pa.upf
Ni 58.69 Ni.upf
Te 127.60 Te.upf
CELL_PARAMETERS angstrom
6.2641 0.0000 0.0000
0.0000 8.0672 0.0000
-5.8801 0.0000 9.7718
ATOMIC_POSITIONS angstrom
Pa -0.5168 0.9828 2.4390
Pa -3.4569 3.0508 7.3249
Pa 3.8409 5.0164 2.4469
Pa 0.9008 7.0844 7.3329
Ni -2.9401 0.0000 4.8859
Ni 0.0000 4.0336 0.0000
Te -4.9744 1.3876 9.3278
Te -2.0343 2.6459 4.4419
Te -3.6897 5.3964 9.3316
Te -0.7497 6.7043 4.4456
Te -2.1565 0.1601 7.3146
Te 0.7835 3.8735 2.4287
Te -0.3996 4.1937 7.3431
Te 2.5405 7.9070 2.4572
Te 1.1337 1.3628 5.3262
Te 4.0737 2.6708 0.4403
Te 2.4183 5.4212 5.3299
Te 5.3583 6.6795 0.4440

[17]
! Pa2NiTe4 | Alexandria | PBE | optimized geometry; values from VASP
! energy above the most stable polymorph in this dataset = 152 meV per atom
! M_tot = 1.474 μB/cell
! symmetry = Cmmm
! E_form (uncorrected) = -0.456 eV per atom
&SYSTEM
  ibrav = 0, nat = 7, ntyp = 3
/
ATOMIC_SPECIES
Pa 231.04 Pa.upf
Ni 58.69 Ni.upf
Te 127.60 Te.upf
CELL_PARAMETERS angstrom
3.8295 -4.9159 0.0000
3.8295 4.9159 0.0000
0.0000 0.0000 4.9072
ATOMIC_POSITIONS angstrom
Pa 3.8295 2.5021 0.0000
Pa 3.8295 -2.5021 0.0000
Ni 0.0000 0.0000 2.4536
Te 1.9148 2.4579 2.4536
Te 1.9116 0.0000 0.0000
Te 1.9148 -2.4579 2.4536
Te 5.7475 0.0000 0.0000

[18]
! Pa2NiTe5 | Alexandria | PBE | optimized geometry; values from VASP
! M_tot = 2.399 μB/cell
! symmetry = Cmcm
! E_form (uncorrected) = -0.510 eV per atom
&SYSTEM
  ibrav = 0, nat = 16, ntyp = 3
/
ATOMIC_SPECIES
Pa 231.04 Pa.upf
Ni 58.69 Ni.upf
Te 127.60 Te.upf
CELL_PARAMETERS angstrom
2.8266 -4.9330 0.0000
2.8266 4.9330 0.0000
0.0000 0.0000 15.8575
ATOMIC_POSITIONS angstrom
Pa 2.8266 2.4665 9.0269
Pa 2.8266 2.4665 14.7593
Pa 2.8266 -2.4665 1.0982
Pa 2.8266 -2.4665 6.8306
Ni 2.8266 2.4743 3.9644
Ni 2.8266 -2.4743 11.8931
Te 2.8266 4.0784 1.6305
Te 2.8266 4.0784 6.2983
Te 2.8266 2.4545 11.8931
Te 2.8266 0.8575 1.6306
Te 2.8266 0.8575 6.2981
Te 2.8266 -0.8575 9.5594
Te 2.8266 -0.8575 14.2269
Te 2.8266 -2.4545 3.9644
Te 2.8266 -4.0784 9.5592
Te 2.8266 -4.0784 14.2270

[19]
! Pa2NiTe4 | Alexandria | PBE | optimized geometry; values from VASP
! energy above the most stable polymorph in this dataset = 0 meV per atom
! M_tot = 3.818 μB/cell
! symmetry = P2_1/m
! E_form (uncorrected) = -0.608 eV per atom
&SYSTEM
  ibrav = 0, nat = 14, ntyp = 3
/
ATOMIC_SPECIES
Pa 231.04 Pa.upf
Ni 58.69 Ni.upf
Te 127.60 Te.upf
CELL_PARAMETERS angstrom
7.2947 0.0000 0.0000
0.0000 6.4231 0.0000
-2.4285 0.0000 7.9634
ATOMIC_POSITIONS angstrom
Pa 0.6244 1.6058 3.5148
Pa -0.3460 1.6058 7.4228
Pa 5.2121 4.8173 0.5406
Pa 4.2417 4.8173 4.4486
Ni 0.0473 4.8173 5.4699
Ni 4.8188 1.6058 2.4935
Te -1.6474 4.8173 7.2613
Te -0.2897 4.8173 3.0188
Te 2.9522 3.2251 2.0160
Te 2.9522 6.4096 2.0160
Te 1.9140 0.0135 5.9473
Te 1.9140 3.1980 5.9473
Te 5.1559 1.6058 4.9446
Te 6.5135 1.6058 0.7020

[20]
! PaNiTe3 | Alexandria | PBE | optimized geometry; values from VASP
! M_tot = 0.759 μB/cell
! symmetry = Pmma
! E_form (uncorrected) = -0.446 eV per atom
&SYSTEM
  ibrav = 0, nat = 10, ntyp = 3
/
ATOMIC_SPECIES
Pa 231.04 Pa.upf
Ni 58.69 Ni.upf
Te 127.60 Te.upf
CELL_PARAMETERS angstrom
5.9300 0.0000 0.0000
0.0000 4.3600 0.0000
0.0000 0.0000 10.4483
ATOMIC_POSITIONS angstrom
Pa 1.4825 0.0000 1.8536
Pa 4.4475 0.0000 8.5948
Ni 1.4825 2.1800 6.5269
Ni 4.4475 2.1800 3.9214
Te 0.0000 2.1800 0.0000
Te 1.4825 0.0000 7.6867
Te 1.4825 2.1800 4.0109
Te 2.9650 2.1800 0.0000
Te 4.4475 0.0000 2.7617
Te 4.4475 2.1800 6.4374

[21]
! ThPaNi | Alexandria | PBE | optimized geometry; values from VASP
! energy above the most stable polymorph in this dataset = 0 meV per atom
! M_tot = 0.000 μB/cell
! symmetry = I4mm
! ΔE_f = -95.6 meV/atom
&SYSTEM
  ibrav = 0, nat = 3, ntyp = 3
/
ATOMIC_SPECIES
Th 232.04 Th.upf
Pa 231.04 Pa.upf
Ni 58.69 Ni.upf
CELL_PARAMETERS angstrom
-1.7640 1.7640 5.6799
1.7640 -1.7640 5.6799
1.7640 1.7640 -5.6799
ATOMIC_POSITIONS angstrom
Th 0.0000 0.0000 0.0000
Pa 0.0000 0.0000 3.1591
Ni 0.0000 0.0000 7.7675

no.,raw total energy (eV/atom)
1,-9.2965
2,-7.0329
3,-8.1883
4,-8.6154
5,-7.7573
6,-8.7399
7,-8.1872
8,-8.7801
9,-5.9903
10,-6.0206
11,-5.4466
12,-6.3964
13,-4.7248
14,-6.0250
15,-5.9316
16,-5.4942
17,-5.7901
18,-5.5699
19,-5.9420
20,-5.3861
21,-7.6613